P:
Entry from Alexandria: a geometry-optimized Li3MoP2O8 structure (GGA+U).

abc: 8.444 5.574 6.262
angles: 90.00 90.16 90.00
Space group C2/m (No. 12)
Asymmetric unit:
Li 0.000 0.000 0.000
Li 0.166 0.500 0.781
Mo 0.000 0.000 0.500
P 0.149 0.500 0.262
O 0.034 0.277 0.259
O 0.243 0.000 0.930
O 0.245 0.500 0.475

The calculation puts the magnetization at 3.00 μB per formula unit.

---

Q:
Entry from Alexandria: a geometry-optimized Li3MoP2O8 structure (GGA+U).

abc: 5.009 9.069 7.967
angles: 90.00 125.05 90.00
Space group P2_1/c (No. 14)
Asymmetric unit:
Li 0.000 0.000 0.000
Li 0.319 0.138 0.814
Mo 0.500 0.000 0.500
P 0.195 0.683 0.218
O 0.132 0.135 0.484
O 0.165 0.646 0.741
O 0.253 0.598 0.401
O 0.484 0.655 0.198

The calculation puts the magnetization at 3.00 μB per formula unit.

---

Of them, Q has the lowest stability.

---

P:
Entry from Alexandria: a geometry-optimized LiMoP2O structure (GGA+U).

abc: 4.836 4.836 3.822
angles: 90.00 90.00 90.00
Space group P4/mmm (No. 123)
Asymmetric unit:
Li 0.000 0.000 0.000
Mo 0.500 0.500 0.500
P 0.000 0.500 0.500
O 0.500 0.500 0.000

The calculation puts the magnetization at 0.00 μB per formula unit.

---

Q:
Entry from Alexandria: a geometry-optimized LiMoP2O structure (GGA+U).

abc: 4.484 4.484 3.263
angles: 90.00 90.00 90.00
Space group P4/mmm (No. 123)
Asymmetric unit:
Li 0.000 0.000 0.000
Mo 0.500 0.500 0.500
P 0.000 0.500 0.000
O 0.000 0.000 0.500

The calculation puts the magnetization at 0.00 μB per formula unit.

---

Of them, Q has the lowest stability.

---

P:
Entry from Alexandria: a geometry-optimized LiMo2P3O12 structure (GGA+U).

abc: 8.613 8.673 9.023
angles: 90.60 118.17 119.16
Space group P-1 (No. 2)
Asymmetric unit:
Li 0.148 0.186 0.413
Mo 0.296 0.646 0.436
Mo 0.299 0.141 0.931
P 0.211 0.740 0.755
P 0.218 0.975 0.253
P 0.490 0.457 0.744
O 0.000 0.086 0.780
O 0.034 0.545 0.721
O 0.145 0.880 0.745
O 0.218 0.993 0.083
O 0.272 0.833 0.311
O 0.276 0.750 0.620
O 0.325 0.456 0.564
O 0.329 0.528 0.267
O 0.355 0.261 0.753
O 0.370 0.164 0.402
O 0.410 0.809 0.943
O 0.416 0.388 0.099

The calculation puts the magnetization at 4.00 μB per formula unit.

---

Q:
Entry from Alexandria: a geometry-optimized LiMo2P3O12 structure (GGA+U).

abc: 9.059 9.268 12.417
angles: 90.00 90.00 90.00
Space group Pbcm (No. 57)
Asymmetric unit:
Li 0.125 0.207 0.250
Mo 0.248 0.525 0.599
P 0.033 0.250 0.000
P 0.402 0.630 0.132
O 0.058 0.642 0.566
O 0.130 0.172 0.086
O 0.207 0.514 0.750
O 0.303 0.536 0.061
O 0.348 0.580 0.250
O 0.373 0.709 0.621
O 0.434 0.102 0.121

The calculation puts the magnetization at 4.00 μB per formula unit.

---

Of them, Q has the lowest stability.

---

P:
Entry from Alexandria: a geometry-optimized LiSmMo2O8 structure (GGA+U).

abc: 7.400 7.400 6.631
angles: 90.00 90.00 90.00
Space group I-4m2 (No. 119)
Asymmetric unit:
Li 0.000 0.000 0.000
Sm 0.000 0.500 0.250
Mo 0.000 0.000 0.500
Mo 0.000 0.500 0.750
O 0.000 0.194 0.339
O 0.000 0.312 0.923

The calculation puts the magnetization at 0.00 μB per formula unit.

---

Q:
Entry from Alexandria: a geometry-optimized LiSmMo2O8 structure (GGA+U).

abc: 5.074 6.007 11.050
angles: 90.00 112.31 90.00
Space group P2/c (No. 13)
Asymmetric unit:
Li 0.000 0.227 0.250
Sm 0.500 0.294 0.750
Mo 0.267 0.180 0.024
O 0.137 0.107 0.594
O 0.220 0.367 0.141
O 0.297 0.366 0.902
O 0.366 0.078 0.382

The calculation puts the magnetization at 0.00 μB per formula unit.

---

Of them, P has the lowest stability.

---

P:
Entry from Alexandria: a geometry-optimized LiSm4Mo4O14 structure (GGA+U).

abc: 7.478 7.486 7.507
angles: 60.82 60.73 60.64
Space group P1 (No. 1)
Asymmetric unit:
Li 0.000 0.000 0.000
Sm 0.270 0.700 0.259
Sm 0.276 0.734 0.726
Sm 0.291 0.234 0.748
Sm 0.759 0.717 0.767
Mo 0.257 0.229 0.249
Mo 0.759 0.232 0.255
Mo 0.759 0.727 0.253
Mo 0.763 0.232 0.744
O 0.085 0.135 0.583
O 0.099 0.554 0.164
O 0.105 0.156 0.145
O 0.128 0.605 0.629
O 0.362 0.862 0.885
O 0.412 0.312 0.355
O 0.423 0.896 0.342
O 0.434 0.325 0.906
O 0.662 0.581 0.158
O 0.673 0.573 0.581
O 0.679 0.120 0.602
O 0.848 0.316 0.908
O 0.860 0.895 0.927
O 0.872 0.890 0.308

The calculation puts the magnetization at 9.00 μB per formula unit.

---

Q:
Entry from Alexandria: a geometry-optimized LiSm4Mo4O14 structure (GGA+U).

abc: 7.5820 7.5820 18.2310
angles: 90.00 90.00 120.00
Space group R3 (No. 146, hexagonal axes)
Asymmetric unit:
Li 0.0000 0.0000 0.0000
Sm 0.0000 0.0000 0.6269
Sm 0.1575 0.3356 0.4607
Mo 0.0000 0.0000 0.1312
Mo 0.1699 0.8241 0.9582
O 0.0000 0.0000 0.5010
O 0.0000 0.0000 0.7518
O 0.0486 0.5277 0.9846
O 0.0509 0.5144 0.7359
O 0.1787 0.8050 0.8475
O 0.1909 0.3923 0.6030

The calculation puts the magnetization at 9.00 μB per formula unit.

---

Of them, Q has the lowest stability.

---

P:
Entry from Alexandria: a geometry-optimized LiY5Mo2O12 structure (GGA+U).

abc: 5.932 7.039 7.385
angles: 105.46 90.69 114.43
Space group P1 (No. 1)
Asymmetric unit:
Li 0.000 0.000 0.000
Y 0.175 0.302 0.804
Y 0.457 0.874 0.949
Y 0.465 0.894 0.482
Y 0.853 0.652 0.143
Y 0.856 0.670 0.658
Mo 0.415 0.283 0.308
Mo 0.928 0.282 0.311
O 0.063 0.582 0.877
O 0.069 0.612 0.396
O 0.167 0.273 0.498
O 0.182 0.295 0.111
O 0.254 0.937 0.211
O 0.255 0.966 0.741
O 0.567 0.583 0.878
O 0.601 0.629 0.396
O 0.661 0.269 0.500
O 0.668 0.282 0.120
O 0.764 0.953 0.196
O 0.777 0.975 0.759

The calculation puts the magnetization at 4.00 μB per formula unit.

---

Q:
Entry from Alexandria: a geometry-optimized LiY5Mo2O12 structure (GGA+U).

abc: 12.424 5.877 7.476
angles: 90.00 107.58 90.00
Space group C2/m (No. 12)
Asymmetric unit:
Li 0.000 0.000 0.000
Y 0.000 0.500 0.000
Y 0.193 0.000 0.341
Y 0.202 0.000 0.856
Mo 0.000 0.279 0.500
O 0.000 0.000 0.307
O 0.016 0.500 0.303
O 0.146 0.238 0.066
O 0.169 0.236 0.592

The calculation puts the magnetization at 2.00 μB per formula unit.

---

Of them, P has the lowest stability.